No. 1
Entry from Alexandria via LeMat-Bulk: RbS3N after structural relaxation (PBE).

```
RbS3N
1.0
6.366 -0.835 -0.277
-1.218 6.282 -0.254
1.239 1.339 9.268
Rb S N
2 6 2
Cartesian
4.594 0.825 -0.264
2.476 4.046 4.374
1.275 6.813 6.731
0.710 3.463 1.578
-0.343 5.095 2.041
2.989 5.875 7.139
2.544 2.497 7.409
4.060 4.081 1.359
5.165 0.776 4.305
5.948 1.566 4.385
```

Computed properties:
* space group: P1 (1)
* E_form (uncorrected): -0.33 eV per atom
* calculated total energy: -4.6700 eV/atom
* energy above the most stable polymorph in this dataset: 0.000 eV per atom
* total magnetization: 0.203 μB/atom

=====

No. 2
Entry from Alexandria via LeMat-Bulk: V6Cr2Re after structural relaxation (PBE).

```
V6Cr2Re
1.0
4.916 0.000 0.458
0.000 5.971 0.000
0.025 0.000 8.431
V Cr Re
12 4 2
Cartesian
3.745 5.371 2.385
3.978 3.600 4.795
4.568 4.172 8.675
2.842 1.187 4.658
3.432 0.614 8.537
3.641 2.385 2.517
1.195 0.600 6.504
0.962 2.371 4.093
0.372 1.799 0.214
2.098 4.784 4.230
1.508 5.356 0.351
1.299 3.585 6.371
3.977 2.101 6.709
3.433 5.086 6.623
1.507 0.885 2.265
0.963 3.870 2.179
2.458 2.985 0.229
0.012 0.000 4.215
```

Computed properties:
* space group: P2_1/c (14)
* calculated formation energy: 0.2504 eV/atom
* calculated total energy: -9.3504 eV/atom
* energy above the most stable polymorph in this dataset: 0.394 eV per atom
* total magnetization: 0.000 μB/atom